Below is crystalline Ca2HgI at its relaxed geometry, with properties calculated at the PBE level.

total magnetization = 0.00 μB per cell
formation energy (no corrections) = -0.79 eV per atom
D(E_F) = 3.3 states/eV/cell
SG = R-3m
raw total energy = -2.26 eV per atom

Cell: 8.905 8.905 8.905 Å, 27.48 27.48 27.48°
Atoms (fractional coordinates):
Ca (0.242, 0.242, 0.242)
Ca (0.758, 0.758, 0.758)
Hg (0.500, 0.500, 0.500)
I (0.000, 0.000, 0.000)